ZnNi7Bi2As2 | GGA-PBE | relaxed

Cell lengths 5.339, 5.392, 13.270 Å; angles 90.00, 96.93, 90.00 degrees
Space group C2/m (No. 12)
Asymmetric unit:
Zn  0.000  0.000  0.000 x2
Ni  0.000  0.500  0.000 x2
Ni  0.120  0.500  0.410 x4
Ni  0.212  0.250  0.875 x8
Bi  0.126  0.000  0.396 x4
As  0.070  0.500  0.229 x4

Calculated values
As for the formation enthalpy at 0 K: -0.07 eV per atom. Its crystal system is monoclinic. As for the total energy: -4.970 eV/atom.